Entry 1:
An optimized crystal structure of Tm4Ge8Ru. Source: Alexandria, functional PBE.

Cell lengths 3.987, 4.108, 16.001 Å; angles 90.00, 90.00, 90.00 degrees
Fractional coordinates of all 13 atoms:
Ru: 0.000 0.000 0.316
Ge: 0.000 0.000 0.467
Ge: 0.000 0.500 0.939
Ge: 0.500 0.000 0.228
Ge: 0.000 0.000 0.750
Ge: 0.000 0.500 0.230
Ge: 0.500 0.500 0.755
Ge: 0.500 0.000 0.571
Ge: 0.500 0.500 0.048
Tm: 0.500 0.500 0.399
Tm: 0.500 0.000 0.895
Tm: 0.000 0.000 0.096
Tm: 0.000 0.500 0.610

Results
Its crystal system is orthorhombic. The calculation puts the final energy at -5.495 eV/atom.


Entry 2:
An optimized crystal structure of TmGe6Ru5. Source: Alexandria, functional PBE.

Cell lengths 6.822, 5.344, 6.452 Å; angles 65.53, 79.76, 64.59 degrees
Fractional coordinates of all 12 atoms:
Ge: 0.299 0.523 0.381
Ge: 0.701 0.477 0.619
Ge: 0.214 0.347 0.000
Ge: 0.299 0.903 0.619
Ge: 0.786 0.653 0.000
Ge: 0.701 0.097 0.381
Tm: 0.000 0.000 0.000
Ru: 0.000 0.684 0.632
Ru: 0.500 0.879 0.243
Ru: 0.500 0.500 0.000
Ru: 0.500 0.121 0.757
Ru: 0.000 0.316 0.368

Results
Its crystal system is monoclinic. The calculation puts the final energy at -6.769 eV/atom.


Entry 3:
An optimized crystal structure of TmGe3Ru. Source: Alexandria, functional PBE.

Cell lengths 5.682, 5.625, 6.118 Å; angles 90.00, 90.00, 90.02 degrees
Fractional coordinates of all 10 atoms:
Ge: 0.468 0.854 0.966
Ge: 0.968 0.499 0.936
Ge: 0.968 0.499 0.466
Ge: 0.865 0.089 0.701
Ge: 0.468 0.854 0.436
Ge: 0.365 0.264 0.201
Ru: 0.160 0.793 0.701
Ru: 0.660 0.560 0.201
Tm: 0.917 0.036 0.201
Tm: 0.417 0.317 0.701

Results
Its crystal system is orthorhombic. The calculation puts the final energy at -5.922 eV/atom.


Entry 4:
An optimized crystal structure of Tm2GeRu2. Source: Alexandria, functional PBE.

Cell lengths 5.408, 5.653, 7.604 Å; angles 102.48, 90.00, 118.58 degrees
Fractional coordinates of all 10 atoms:
Ge: 0.881 0.000 0.250
Ge: 0.119 0.000 0.750
Tm: 0.794 0.286 0.645
Tm: 0.206 0.714 0.355
Tm: 0.508 0.714 0.855
Tm: 0.492 0.286 0.145
Ru: 0.291 0.276 0.512
Ru: 0.709 0.724 0.488
Ru: 0.986 0.276 0.012
Ru: 0.014 0.724 0.988

Results
Its crystal system is monoclinic. The calculation puts the final energy at -7.003 eV/atom. For the energy above the most stable polymorph in this dataset, the calculation gives 0 meV/atom.


Entry 5:
An optimized crystal structure of Tm4GeRu2. Source: Alexandria, functional PBE.

Cell lengths 6.525, 8.694, 8.693 Å; angles 120.57, 109.06, 109.18 degrees
Fractional coordinates of all 14 atoms:
Tm: 0.695 0.089 0.707
Tm: 0.850 0.617 0.141
Tm: 0.370 0.529 0.222
Tm: 0.196 0.095 0.705
Tm: 0.554 0.761 0.893
Tm: 0.401 0.042 0.267
Tm: 0.880 0.602 0.660
Tm: 0.054 0.259 0.398
Ru: 0.625 0.315 0.190
Ru: 0.701 0.899 0.314
Ru: 0.549 0.364 0.699
Ru: 0.125 0.446 0.821
Ge: 0.183 0.669 0.497
Ge: 0.067 0.064 0.986

Results
Its crystal system is monoclinic. The calculation puts the final energy at -6.291 eV/atom.


Entry 6:
An optimized crystal structure of Tm2Ge5Ru3. Source: Alexandria, functional PBE.

Cell lengths 8.458, 8.458, 8.458 Å; angles 140.42, 109.02, 84.46 degrees
Fractional coordinates of all 20 atoms:
Ge: 0.205 0.955 0.750
Ge: 0.736 0.914 0.822
Ge: 0.264 0.086 0.178
Ge: 0.795 0.545 0.750
Ge: 0.795 0.045 0.250
Ge: 0.092 0.414 0.678
Ge: 0.500 0.750 0.250
Ge: 0.500 0.250 0.750
Ge: 0.205 0.455 0.250
Ge: 0.908 0.586 0.322
Ru: 0.000 0.750 0.750
Ru: 0.442 0.851 0.591
Ru: 0.261 0.351 0.909
Ru: 0.739 0.649 0.091
Ru: 0.558 0.149 0.409
Ru: 0.000 0.250 0.250
Tm: 0.873 0.143 0.730
Tm: 0.127 0.857 0.270
Tm: 0.588 0.357 0.230
Tm: 0.412 0.643 0.770

Results
Its crystal system is orthorhombic. The calculation puts the final energy at -6.604 eV/atom.


Entry 7:
An optimized crystal structure of TmGe3Ru2. Source: Alexandria, functional PBE.

Cell lengths 4.248, 6.211, 8.445 Å; angles 90.00, 90.00, 110.00 degrees
Fractional coordinates of all 12 atoms:
Tm: 0.817 0.633 0.750
Tm: 0.183 0.367 0.250
Ru: 0.530 0.060 0.750
Ru: 0.470 0.940 0.250
Ru: 0.000 0.000 0.500
Ru: 0.000 0.000 0.000
Ge: 0.377 0.753 0.525
Ge: 0.866 0.731 0.250
Ge: 0.623 0.247 0.025
Ge: 0.623 0.247 0.475
Ge: 0.377 0.753 0.975
Ge: 0.134 0.269 0.750

Results
Its crystal system is orthorhombic. The calculation puts the final energy at -6.643 eV/atom.


Entry 8:
An optimized crystal structure of YTmGeRu. Source: Alexandria, functional PBE.

Cell lengths 4.215, 3.823, 5.835 Å; angles 90.00, 111.17, 90.00 degrees
Fractional coordinates of all 4 atoms:
Tm: 0.134 0.000 0.268
Ru: 0.584 0.500 0.169
Ge: 0.430 0.000 0.860
Y: 0.852 0.500 0.704

Results
Its crystal system is orthorhombic. The calculation puts the final energy at -6.850 eV/atom. For the energy above the most stable polymorph in this dataset, the calculation gives 0 meV/atom.


Entry 9:
An optimized crystal structure of YTmGeRu. Source: Alexandria, functional PBE.

Cell lengths 4.900, 4.900, 4.900 Å; angles 60.00, 60.00, 60.00 degrees
Fractional coordinates of all 4 atoms:
Y: 0.000 0.000 0.000
Ru: 0.750 0.750 0.750
Tm: 0.500 0.500 0.500
Ge: 0.250 0.250 0.250

Results
Its crystal system is cubic. The calculation puts the final energy at -6.706 eV/atom. For the energy above the most stable polymorph in this dataset, the calculation gives 144 meV/atom.


Entry 10:
An optimized crystal structure of UGeRu2. Source: Alexandria, functional PBE.

Cell lengths 3.024, 3.024, 7.018 Å; angles 90.00, 90.00, 90.00 degrees
Fractional coordinates of all 4 atoms:
Ru: 0.000 0.000 0.213
Ru: 0.000 0.000 0.787
U: 0.500 0.500 0.500
Ge: 0.500 0.500 0.000

Results
Its crystal system is tetragonal. The calculation puts the final energy at -8.843 eV/atom.


Entry 11:
An optimized crystal structure of UGeRu2. Source: Alexandria, functional PBE.

Cell lengths 4.909, 4.639, 6.150 Å; angles 90.00, 103.07, 90.00 degrees
Fractional coordinates of all 8 atoms:
Ru: 0.694 0.750 0.048
Ru: 0.682 0.750 0.510
Ru: 0.318 0.250 0.490
Ru: 0.306 0.250 0.952
U: 0.183 0.750 0.219
U: 0.817 0.250 0.781
Ge: 0.744 0.250 0.288
Ge: 0.256 0.750 0.712

Results
Its crystal system is monoclinic. The calculation puts the final energy at -8.980 eV/atom.


Entry 12:
An optimized crystal structure of U3Ge2Ru3. Source: Alexandria, functional PBE.

Cell lengths 4.069, 5.589, 14.284 Å; angles 90.00, 90.00, 111.34 degrees
Fractional coordinates of all 16 atoms:
Ru: 0.639 0.279 0.019
Ru: 0.628 0.256 0.750
Ru: 0.372 0.744 0.250
Ru: 0.361 0.721 0.981
Ru: 0.639 0.279 0.481
Ru: 0.361 0.721 0.519
Ge: 0.804 0.608 0.885
Ge: 0.196 0.392 0.115
Ge: 0.196 0.392 0.385
Ge: 0.804 0.608 0.615
U: 0.084 0.168 0.607
U: 0.616 0.231 0.250
U: 0.384 0.769 0.750
U: 0.084 0.168 0.893
U: 0.916 0.832 0.107
U: 0.916 0.832 0.393

Results
Its crystal system is orthorhombic. The calculation puts the final energy at -9.120 eV/atom.


One value per record, in order, for energy of formation: -7.338, -2.676, -2.012, -2.901, -2.983, -6.186, -2.985, -2.572, -1.996, -0.916, -1.464, -2.030 eV/f.u..